*i*
Material: BeSiSe3
Method: DFT, PBE
State: optimized geometry

abc: 3.640 8.053 9.895
angles: 104.23 90.00 89.99
Fractional coordinates of all 10 atoms:
Be (0.250, 0.883, 0.503)
Si (0.750, 0.210, 0.787)
Se (0.250, 0.629, 0.365)
Si (0.250, 0.790, 0.213)
Se (0.250, 0.076, 0.357)
Se (0.250, 0.228, 0.939)
Be (0.750, 0.117, 0.497)
Se (0.750, 0.772, 0.061)
Se (0.750, 0.924, 0.643)
Se (0.750, 0.371, 0.635)

Calculated values
Spin magnetization = 0.000 Bohr magnetons per cell


*ii*
Material: BeSiSe3
Method: DFT, PBE
State: optimized geometry

abc: 4.590 4.590 4.590
angles: 90.00 90.00 90.00
Fractional coordinates of all 5 atoms:
Se (0.000, 0.000, 0.500)
Se (0.500, 0.000, 0.000)
Si (0.500, 0.500, 0.500)
Be (0.000, 0.000, 0.000)
Se (0.000, 0.500, 0.000)

Calculated values
Spin magnetization = 0.000 Bohr magnetons per cell


*iii*
Material: BeSiSe3
Method: DFT, PBE
State: optimized geometry

abc: 4.799 4.799 4.799
angles: 90.00 90.00 90.00
Fractional coordinates of all 5 atoms:
Se (0.000, 0.000, 0.500)
Se (0.000, 0.500, 0.000)
Se (0.500, 0.000, 0.000)
Si (0.000, 0.000, 0.000)
Be (0.500, 0.500, 0.500)

Calculated values
Spin magnetization = 0.000 Bohr magnetons per cell


Of them, *iii* has the lowest stability.


*i*
Material: BeSnSe2
Method: DFT, PBE
State: optimized geometry

abc: 4.878 4.878 4.878
angles: 60.00 60.00 60.00
Fractional coordinates of all 4 atoms:
Sn (0.500, 0.500, 0.500)
Se (0.250, 0.250, 0.250)
Se (0.750, 0.750, 0.750)
Be (0.000, 0.000, 0.000)

Calculated values
Spin magnetization = 0.000 Bohr magnetons per cell


*ii*
Material: BeSnSe2
Method: DFT, PBE
State: optimized geometry

abc: 8.693 8.693 8.693
angles: 22.61 22.61 22.61
Fractional coordinates of all 4 atoms:
Sn (0.000, 0.000, 0.000)
Se (0.886, 0.886, 0.886)
Be (0.500, 0.500, 0.500)
Se (0.114, 0.114, 0.114)

Calculated values
Spin magnetization = 0.000 Bohr magnetons per cell


*iii*
Material: BeSnSe2
Method: DFT, PBE
State: optimized geometry

abc: 6.685 6.685 6.294
angles: 57.92 57.92 90.00
Fractional coordinates of all 8 atoms:
Sn (0.750, 0.250, 0.500)
Se (0.875, 0.787, 0.750)
Be (0.250, 0.750, 0.500)
Se (0.213, 0.625, 0.250)
Se (0.537, 0.125, 0.250)
Sn (0.000, 0.000, 0.000)
Be (0.500, 0.500, 0.000)
Se (0.375, 0.463, 0.750)

Calculated values
Spin magnetization = 0.000 Bohr magnetons per cell


*iv*
Material: BeSnSe2
Method: DFT, PBE
State: optimized geometry

abc: 7.492 7.492 7.492
angles: 35.72 35.72 35.72
Fractional coordinates of all 4 atoms:
Sn (0.500, 0.500, 0.500)
Be (0.000, 0.000, 0.000)
Se (0.096, 0.096, 0.096)
Se (0.904, 0.904, 0.904)

Calculated values
Spin magnetization = 0.000 Bohr magnetons per cell


Of them, *i* has the lowest stability.